No. 1
Entry from the Alexandria database: crystalline Nd2MgZrO6 at its relaxed geometry (PBE).

Cell: 5.6102 5.8378 9.8054 Å, 90.00 124.29 90.00°
Last column: nearest neighbours and their distance in Å.
Space group P2_1/c (No. 14)
Inequivalent atoms, fractional coordinates:
1 Nd 0.2307 0.0566 0.2482 [4 per cell]  5 O 2.34-2.62
2 Mg 0.0000 0.0000 0.5000 [2 per cell]  6 O 2.12-2.15
3 Zr 0.5000 0.0000 0.0000 [2 per cell]  6 O 2.11-2.13
4 O 0.1410 0.1990 0.9427 [4 per cell]  1 Zr 2.11, 1 Mg 2.13
5 O 0.2398 0.7018 0.9385 [4 per cell]  1 Mg 2.12, 1 Zr 2.13
6 O 0.3636 0.0428 0.7508 [4 per cell]  1 Zr 2.12, 1 Mg 2.15, 1 Nd 2.34

Properties
E_tot ... -8.1801 eV per atom
ΔE_f (raw) ... -3.237 eV/atom

No. 2
Entry from the Alexandria database: crystalline La2Pd2Se at its relaxed geometry (PBE).

Cell: 3.9302 3.9302 16.0254 Å, 90.00 90.00 90.00°
Last column: nearest neighbours and their distance in Å.
Space group I4/mmm (No. 139)
Inequivalent atoms, fractional coordinates:
1 La 0.0000 0.0000 0.1135 [4 per cell]  4 Pd 2.94
2 Pd 0.0000 0.5000 0.2500 [4 per cell]  4 Pd 2.78, 4 La 2.94
3 Se 0.0000 0.0000 0.5000 [2 per cell]  8 La 3.32

Properties
E_tot ... -5.8267 eV per atom
ΔE_f (raw) ... -1.082 eV/atom

No. 3
Entry from the Alexandria database: crystalline Co2PRh at its relaxed geometry (PBE).

Cell: 3.6606 3.6606 6.9277 Å, 90.00 90.00 90.00°
Last column: nearest neighbours and their distance in Å.
Space group I-4m2 (No. 119)
Inequivalent atoms, fractional coordinates:
1 Co 0.0000 0.0000 0.0000 [2 per cell]  4 Co 2.52, 4 P 2.52, 4 Rh 2.59
2 Co 0.0000 0.5000 0.2500 [2 per cell]  4 Co 2.52, 4 Rh 2.52, 4 P 2.59
3 P 0.0000 0.5000 0.7500 [2 per cell]  8 Co 2.52-2.59, 4 Rh 2.52
4 Rh 0.0000 0.0000 0.5000 [2 per cell]  8 Co 2.52-2.59, 4 P 2.52

Properties
E_tot ... -6.8745 eV per atom
ΔE_f ... -131 meV/atom

No. 4
Entry from the Alexandria database: crystalline PaMnPb2S6 at its relaxed geometry (PBE).

Cell: 6.7922 6.9368 7.0636 Å, 118.81 118.13 90.02°
Last column: nearest neighbours and their distance in Å.
Space group P1 (No. 1)
Inequivalent atoms, fractional coordinates:
1 Pa 0.0000 0.0000 0.0000 [1 per cell]  6 S 2.59-2.66
2 Mn 0.5105 0.5067 0.0120 [1 per cell]  5 S 2.35-2.61
3 Pb 0.2802 0.8656 0.5695 [1 per cell]  6 S 2.89-3.11
4 Pb 0.7881 0.3595 0.5670 [1 per cell]  6 S 2.92-3.09
5 S 0.1639 0.2305 0.4871 [1 per cell]  1 Pa 2.59, 1 Mn 2.81, 1 Pb 2.89
6 S 0.2372 0.7062 0.0574 [1 per cell]  1 Mn 2.37
7 S 0.3523 0.2372 0.0591 [1 per cell]  1 Mn 2.39, 1 Pa 2.65
8 S 0.6462 0.7298 0.9079 [1 per cell]  1 Mn 2.35
9 S 0.7395 0.2654 0.9156 [1 per cell]  1 Mn 2.36, 1 Pa 2.63
10 S 0.8304 0.7427 0.5013 [1 per cell]  1 Mn 2.61, 1 Pa 2.65, 1 Pb 2.92

Properties
E_tot ... -5.9132 eV per atom
ΔE_f (raw) ... -0.829 eV/atom

No. 5
Entry from the Alexandria database: crystalline VGeMo2 at its relaxed geometry (PBE).

Cell: 3.0055 3.0055 23.9199 Å, 90.00 90.00 120.00°
Last column: nearest neighbours and their distance in Å.
Space group R3m (No. 160, hexagonal axes)
Inequivalent atoms, fractional coordinates:
1 V 0.0000 0.0000 0.0000 [3 per cell]  6 Mo 2.56-2.61
2 Ge 0.0000 0.0000 0.1669 [3 per cell]  6 Mo 2.67-2.73
3 Mo 0.0000 0.0000 0.5852 [3 per cell]  3 V 2.61, 3 Ge 2.67
4 Mo 0.0000 0.0000 0.7453 [3 per cell]  3 V 2.56, 3 Ge 2.73

Properties
E_tot ... -8.6143 eV per atom
ΔE_f ... 235 meV/atom

No. 6
Entry from the Alexandria database: crystalline BaZnOs at its relaxed geometry (PBE).

Cell: 3.5302 3.5302 11.1923 Å, 90.00 90.00 90.00°
Last column: nearest neighbours and their distance in Å.
Space group I4mm (No. 107)
Inequivalent atoms, fractional coordinates:
1 Ba 0.0000 0.0000 0.0000 [2 per cell]  1 Zn 3.02, 1 Os 3.19
2 Zn 0.0000 0.0000 0.2700 [2 per cell]  4 Os 2.57
3 Os 0.0000 0.0000 0.7150 [2 per cell]  4 Zn 2.57

Properties
E_tot ... -4.3239 eV per atom
ΔE_f ... 485 meV/atom

Which of these has the lowest E_tot? VGeMo2